Te3RhS: single point on PBEsol structure, meta-GGA SCAN.

Unit cell a=5.089 b=5.089 c=5.089 alpha=90.00 beta=90.00 gamma=90.00
Atoms (fractional coordinates):
S (0.500, 0.500, 0.500)
Te (0.000, 0.500, 0.000)
Te (0.000, 0.000, 0.500)
Te (0.500, 0.000, 0.000)
Rh (0.000, 0.000, 0.000)

Calculated values
Space group: Pm-3m (221)
Fermi-level density of states, states/eV/f.u.: 6.473
E_form (uncorrected), eV/atom: 0.583
V, Å³ per atom: 26.4


TlRhS2: single point on PBEsol structure, meta-GGA SCAN.

Unit cell a=3.512 b=3.512 c=8.380 alpha=77.90 beta=77.90 gamma=60.00
Atoms (fractional coordinates):
S (0.119, 0.119, 0.643)
Rh (0.500, 0.500, 0.500)
Tl (0.000, 0.000, 0.000)
S (0.881, 0.881, 0.357)

Calculated values
Space group: R-3m (166)
Fermi-level density of states, states/eV/f.u.: 2.378
E_form (uncorrected), eV/atom: -0.433
V, Å³ per atom: 21.7


Tl2Rh3S2: single point on PBEsol structure, meta-GGA SCAN.

Unit cell a=5.625 b=5.625 c=5.647 alpha=60.13 beta=60.13 gamma=60.00
Atoms (fractional coordinates):
Tl (0.500, 0.500, 0.500)
S (0.218, 0.218, 0.346)
Rh (0.500, 0.000, 0.000)
Rh (0.500, 0.500, 0.000)
Rh (0.000, 0.500, 0.000)
S (0.782, 0.782, 0.654)
Tl (0.000, 0.000, 0.000)

Calculated values
Space group: R-3m (166)
Fermi-level density of states, states/eV/f.u.: 4.038
E_form (uncorrected), eV/atom: -0.375
V, Å³ per atom: 18.1


ZnRhS2: single point on PBEsol structure, meta-GGA SCAN.

Unit cell a=3.235 b=3.235 c=7.575 alpha=77.67 beta=77.67 gamma=60.00
Atoms (fractional coordinates):
S (0.901, 0.901, 0.298)
S (0.099, 0.099, 0.702)
Rh (0.000, 0.000, 0.000)
Zn (0.500, 0.500, 0.500)

Calculated values
Space group: R-3m (166)
Fermi-level density of states, states/eV/f.u.: 3.316
E_form (uncorrected), eV/atom: -0.005
V, Å³ per atom: 16.6


Zr3RhS: single point on PBEsol structure, meta-GGA SCAN.

Unit cell a=4.673 b=4.673 c=4.673 alpha=90.00 beta=90.00 gamma=90.00
Atoms (fractional coordinates):
Rh (0.500, 0.500, 0.500)
Zr (0.500, 0.000, 0.000)
Zr (0.000, 0.000, 0.500)
Zr (0.000, 0.500, 0.000)
S (0.000, 0.000, 0.000)

Calculated values
Space group: Pm-3m (221)
Fermi-level density of states, states/eV/f.u.: 2.282
E_form (uncorrected), eV/atom: -0.485
V, Å³ per atom: 20.4


SbRh2: single point on PBEsol structure, meta-GGA SCAN.

Unit cell a=3.974 b=4.784 c=5.533 alpha=100.02 beta=90.00 gamma=114.55
Atoms (fractional coordinates):
Sb (0.282, 0.564, 0.062)
Rh (0.641, 0.283, 0.278)
Rh (0.313, 0.627, 0.574)
Sb (0.995, 0.990, 0.492)
Rh (0.964, 0.927, 0.984)
Rh (0.638, 0.277, 0.776)

Calculated values
Space group: Cm (8)
Fermi-level density of states, states/eV/f.u.: 1.827
E_form (uncorrected), eV/atom: -0.286
V, Å³ per atom: 15.7


SbRh5: single point on PBEsol structure, meta-GGA SCAN.

Unit cell a=3.876 b=3.871 c=6.066 alpha=90.00 beta=108.63 gamma=90.00
Atoms (fractional coordinates):
Rh (0.671, 0.500, 0.343)
Rh (0.832, 0.000, 0.664)
Sb (0.500, 0.000, 0.000)
Rh (0.329, 0.500, 0.657)
Rh (0.168, 0.000, 0.336)
Rh (0.000, 0.500, 0.000)

Calculated values
Space group: Cmmm (65)
Fermi-level density of states, states/eV/f.u.: 6.157
E_form (uncorrected), eV/atom: -0.134
V, Å³ per atom: 14.4


SbRh3: single point on PBEsol structure, meta-GGA SCAN.

Unit cell a=3.969 b=3.972 c=4.702 alpha=114.98 beta=114.96 gamma=90.00
Atoms (fractional coordinates):
Rh (0.500, 0.000, 0.000)
Rh (0.250, 0.250, 0.500)
Rh (0.750, 0.750, 0.500)
Sb (0.000, 0.500, 0.000)

Calculated values
Space group: I4/mmm (139)
Fermi-level density of states, states/eV/f.u.: 5.745
E_form (uncorrected), eV/atom: -0.207
V, Å³ per atom: 14.9


SbRh3: single point on PBEsol structure, meta-GGA SCAN.

Unit cell a=2.913 b=4.690 c=5.216 alpha=116.72 beta=106.21 gamma=90.00
Atoms (fractional coordinates):
Rh (0.500, 0.819, 0.000)
Sb (0.000, 0.341, 0.000)
Rh (0.757, 0.760, 0.514)
Rh (0.243, 0.246, 0.486)

Calculated values
Space group: Imm2 (44)
Fermi-level density of states, states/eV/f.u.: 5.009
E_form (uncorrected), eV/atom: -0.051
V, Å³ per atom: 15.1


SbRh: single point on PBEsol structure, meta-GGA SCAN.

Unit cell a=3.871 b=5.964 c=6.295 alpha=90.00 beta=90.00 gamma=90.00
Atoms (fractional coordinates):
Sb (0.250, 0.695, 0.593)
Sb (0.750, 0.805, 0.093)
Rh (0.750, 0.493, 0.808)
Rh (0.750, 0.993, 0.692)
Rh (0.250, 0.007, 0.308)
Sb (0.750, 0.305, 0.407)
Sb (0.250, 0.195, 0.907)
Rh (0.250, 0.507, 0.192)

Calculated values
Space group: Pnma (62)
Fermi-level density of states, states/eV/f.u.: 0.699
E_form (uncorrected), eV/atom: -0.579
V, Å³ per atom: 18.2


SbRh: single point on PBEsol structure, meta-GGA SCAN.

Unit cell a=3.411 b=4.047 c=5.434 alpha=90.00 beta=108.29 gamma=90.00
Atoms (fractional coordinates):
Rh (0.408, 0.250, 0.816)
Sb (0.145, 0.250, 0.291)
Rh (0.592, 0.750, 0.184)
Sb (0.855, 0.750, 0.709)

Calculated values
Space group: Cmcm (63)
Fermi-level density of states, states/eV/f.u.: 0.970
E_form (uncorrected), eV/atom: -0.344
V, Å³ per atom: 17.8


SbRh3: single point on PBEsol structure, meta-GGA SCAN.

Unit cell a=2.903 b=4.425 c=4.678 alpha=90.00 beta=90.00 gamma=90.00
Atoms (fractional coordinates):
Rh (0.500, 0.000, 0.497)
Sb (0.000, 0.500, 0.342)
Rh (0.000, 0.000, 0.977)
Rh (0.500, 0.500, 0.851)

Calculated values
Space group: Pmm2 (25)
Fermi-level density of states, states/eV/f.u.: 4.377
E_form (uncorrected), eV/atom: -0.073
V, Å³ per atom: 15.0


SbRh3: single point on PBEsol structure, meta-GGA SCAN.

Unit cell a=3.902 b=3.902 c=3.902 alpha=90.00 beta=90.00 gamma=90.00
Atoms (fractional coordinates):
Rh (0.500, 0.000, 0.500)
Rh (0.500, 0.500, 0.000)
Sb (0.000, 0.000, 0.000)
Rh (0.000, 0.500, 0.500)

Calculated values
Space group: Pm-3m (221)
Fermi-level density of states, states/eV/f.u.: 1.487
E_form (uncorrected), eV/atom: -0.282
V, Å³ per atom: 14.9


SbRh3: single point on PBEsol structure, meta-GGA SCAN.

Unit cell a=2.971 b=2.971 c=8.226 alpha=90.00 beta=90.00 gamma=120.00
Site moments in Bohr magnetons follow the coordinates.
Atoms (fractional coordinates):
Sb (0.333, 0.667, 0.500)  -0.01
Rh (0.333, 0.667, 0.000)  1.20
Rh (0.000, 0.000, 0.750)  0.40
Rh (0.000, 0.000, 0.250)  0.40

Calculated values
Space group: P-6m2 (187)
Fermi-level density of states, states/eV/f.u.: 4.619
E_form (uncorrected), eV/atom: 0.250
V, Å³ per atom: 15.7


SbRh2: single point on PBEsol structure, meta-GGA SCAN.

Unit cell a=4.176 b=5.685 c=7.934 alpha=90.00 beta=90.00 gamma=90.00
Atoms (fractional coordinates):
Rh (0.750, 0.539, 0.704)
Sb (0.250, 0.288, 0.607)
Rh (0.750, 0.162, 0.431)
Rh (0.750, 0.039, 0.796)
Rh (0.250, 0.338, 0.931)
Sb (0.750, 0.212, 0.107)
Rh (0.250, 0.961, 0.204)
Rh (0.250, 0.838, 0.569)
Sb (0.250, 0.788, 0.893)
Rh (0.250, 0.461, 0.296)
Rh (0.750, 0.662, 0.069)
Sb (0.750, 0.712, 0.393)

Calculated values
Space group: Pnma (62)
Fermi-level density of states, states/eV/f.u.: 2.080
E_form (uncorrected), eV/atom: -0.386
V, Å³ per atom: 15.7


Sc2SbRh: single point on PBEsol structure, meta-GGA SCAN.

Unit cell a=3.358 b=3.358 c=8.511 alpha=78.62 beta=78.62 gamma=60.00
Atoms (fractional coordinates):
Sc (0.762, 0.762, 0.715)
Sc (0.238, 0.238, 0.285)
Sb (0.000, 0.000, 0.000)
Rh (0.500, 0.500, 0.500)

Calculated values
Space group: R-3m (166)
Fermi-level density of states, states/eV/f.u.: 2.581
E_form (uncorrected), eV/atom: -0.660
V, Å³ per atom: 20.2


ScSbRh3: single point on PBEsol structure, meta-GGA SCAN.

Unit cell a=4.718 b=4.718 c=4.718 alpha=90.00 beta=90.00 gamma=90.00
Atoms (fractional coordinates):
Rh (0.000, 0.500, 0.000)
Rh (0.500, 0.000, 0.000)
Sb (0.000, 0.000, 0.000)
Sc (0.500, 0.500, 0.500)
Rh (0.000, 0.000, 0.500)

Calculated values
Space group: Pm-3m (221)
Fermi-level density of states, states/eV/f.u.: 5.839
E_form (uncorrected), eV/atom: 0.366
V, Å³ per atom: 21.0


Sc2SbRh: single point on PBEsol structure, meta-GGA SCAN.

Unit cell a=3.264 b=3.264 c=9.111 alpha=79.68 beta=79.68 gamma=60.00
Site moments in Bohr magnetons follow the coordinates.
Atoms (fractional coordinates):
Sc (0.997, 0.997, 0.009)  0.45
Rh (0.500, 0.500, 0.501)  0.03
Sb (0.240, 0.240, 0.281)  0.00
Sc (0.763, 0.763, 0.710)  0.25

Calculated values
Space group: R3m (160)
Fermi-level density of states, states/eV/f.u.: 4.171
E_form (uncorrected), eV/atom: -0.283
V, Å³ per atom: 20.6


Sc2SbRh: single point on PBEsol structure, meta-GGA SCAN.

Unit cell a=3.552 b=4.255 c=5.524 alpha=90.00 beta=108.75 gamma=90.00
Atoms (fractional coordinates):
Sc (0.098, 0.000, 0.195)
Sb (0.677, 0.500, 0.354)
Rh (0.848, 0.000, 0.695)
Sc (0.400, 0.500, 0.799)

Calculated values
Space group: Amm2 (38)
Fermi-level density of states, states/eV/f.u.: 1.144
E_form (uncorrected), eV/atom: -0.963
V, Å³ per atom: 19.8


Sb2RhSe: single point on PBEsol structure, meta-GGA SCAN.

Unit cell a=3.332 b=3.332 c=7.172 alpha=90.00 beta=90.00 gamma=90.00
Atoms (fractional coordinates):
Sb (0.000, 0.000, 0.722)
Sb (0.000, 0.000, 0.278)
Se (0.500, 0.500, 0.000)
Rh (0.500, 0.500, 0.500)

Calculated values
Space group: P4/mmm (123)
Fermi-level density of states, states/eV/f.u.: 2.218
E_form (uncorrected), eV/atom: 0.014
V, Å³ per atom: 19.9


SbRhSe2: single point on PBEsol structure, meta-GGA SCAN.

Unit cell a=3.273 b=4.251 c=6.408 alpha=109.37 beta=104.79 gamma=90.00
Atoms (fractional coordinates):
Rh (0.489, 0.489, 0.978)
Se (0.822, 0.322, 0.643)
Sb (0.179, 0.679, 0.358)
Se (0.010, 0.010, 0.021)

Calculated values
Space group: Imm2 (44)
Fermi-level density of states, states/eV/f.u.: 2.050
E_form (uncorrected), eV/atom: -0.018
V, Å³ per atom: 20.2


SbRhSe: single point on PBEsol structure, meta-GGA SCAN.

Unit cell a=6.162 b=6.162 c=6.162 alpha=90.00 beta=90.00 gamma=90.00
Atoms (fractional coordinates):
Rh (0.244, 0.256, 0.744)
Se (0.128, 0.628, 0.872)
Rh (0.744, 0.244, 0.256)
Se (0.872, 0.128, 0.628)
Sb (0.875, 0.625, 0.375)
Sb (0.625, 0.375, 0.875)
Sb (0.375, 0.875, 0.625)
Sb (0.125, 0.125, 0.125)
Rh (0.756, 0.756, 0.756)
Rh (0.256, 0.744, 0.244)
Se (0.628, 0.872, 0.128)
Se (0.372, 0.372, 0.372)

Calculated values
Space group: P2_13 (198)
E_form (uncorrected), eV/atom: -0.648
V, Å³ per atom: 19.5


SbRhSe2: single point on PBEsol structure, meta-GGA SCAN.

Unit cell a=2.919 b=2.919 c=11.756 alpha=82.87 beta=82.87 gamma=60.00
Atoms (fractional coordinates):
Rh (0.000, 0.000, 0.000)
Se (0.932, 0.932, 0.203)
Sb (0.500, 0.500, 0.500)
Se (0.068, 0.068, 0.797)

Calculated values
Space group: R-3m (166)
Fermi-level density of states, states/eV/f.u.: 3.337
E_form (uncorrected), eV/atom: 0.337
V, Å³ per atom: 21.5


SbRhSe2: single point on PBEsol structure, meta-GGA SCAN.

Unit cell a=3.530 b=4.211 c=5.405 alpha=89.98 beta=90.00 gamma=90.00
Atoms (fractional coordinates):
Rh (0.500, 0.500, 0.000)
Sb (0.000, 0.000, 0.500)
Se (0.500, 0.500, 0.500)
Se (0.000, 0.000, 0.000)

Calculated values
Space group: Pmmm (47)
Fermi-level density of states, states/eV/f.u.: 2.048
E_form (uncorrected), eV/atom: 0.114
V, Å³ per atom: 20.1


Sb2RhSe: single point on PBEsol structure, meta-GGA SCAN.

Unit cell a=3.720 b=3.720 c=7.464 alpha=75.57 beta=75.57 gamma=60.00
Atoms (fractional coordinates):
Se (0.000, 0.000, 0.000)
Sb (0.239, 0.239, 0.282)
Sb (0.761, 0.761, 0.718)
Rh (0.500, 0.500, 0.500)

Calculated values
Space group: R-3m (166)
Fermi-level density of states, states/eV/f.u.: 2.101
E_form (uncorrected), eV/atom: -0.204
V, Å³ per atom: 21.4


SbRh3Se: single point on PBEsol structure, meta-GGA SCAN.

Unit cell a=4.542 b=4.542 c=4.542 alpha=90.00 beta=90.00 gamma=90.00
Atoms (fractional coordinates):
Sb (0.500, 0.500, 0.500)
Rh (0.500, 0.000, 0.000)
Se (0.000, 0.000, 0.000)
Rh (0.000, 0.500, 0.000)
Rh (0.000, 0.000, 0.500)

Calculated values
Space group: Pm-3m (221)
Fermi-level density of states, states/eV/f.u.: 8.770
E_form (uncorrected), eV/atom: 0.396
V, Å³ per atom: 18.7


SmSbRh: single point on PBEsol structure, meta-GGA SCAN.

Unit cell a=4.551 b=7.206 c=7.795 alpha=90.00 beta=90.00 gamma=90.00
Atoms (fractional coordinates):
Sb (0.750, 0.811, 0.090)
Sb (0.250, 0.189, 0.910)
Sb (0.750, 0.311, 0.410)
Rh (0.250, 0.804, 0.916)
Sm (0.750, 0.989, 0.699)
Rh (0.750, 0.196, 0.084)
Sm (0.250, 0.011, 0.301)
Rh (0.250, 0.304, 0.584)
Sb (0.250, 0.689, 0.590)
Rh (0.750, 0.696, 0.416)
Sm (0.750, 0.489, 0.801)
Sm (0.250, 0.511, 0.199)

Calculated values
Space group: Pnma (62)
Fermi-level density of states, states/eV/f.u.: 1.691
E_form (uncorrected), eV/atom: -1.159
V, Å³ per atom: 21.3


TaSnSbRh2: single point on PBEsol structure, meta-GGA SCAN.

Unit cell a=4.720 b=4.720 c=5.088 alpha=90.00 beta=90.00 gamma=90.00
Atoms (fractional coordinates):
Rh (0.000, 0.500, 0.000)
Sb (0.500, 0.500, 0.500)
Sn (0.000, 0.000, 0.000)
Ta (0.000, 0.000, 0.500)
Rh (0.500, 0.000, 0.000)

Calculated values
Space group: P4/mmm (123)
Fermi-level density of states, states/eV/f.u.: 4.866
E_form (uncorrected), eV/atom: 1.290
V, Å³ per atom: 22.7